Computed, not measured: a geometry-optimized LiNdCo structure at the PBE level of DFT.

Output
calculated density	5.316	g/cm3
E_tot	-11.5	eV per formula unit
M_tot	1.3	μB/cell
polymorph energy (0 for the lowest one)	262.0	meV/atom

a = 6.403 Å, b = 6.403 Å, c = 6.403 Å
α = 90.00°, β = 90.00°, γ = 90.00°
Space group F-43m (No. 216)
Asymmetric unit:
Li (0.000, 0.000, 0.000) [4 per cell]
Nd (0.250, 0.250, 0.750) [4 per cell]
Co (0.000, 0.000, 0.500) [4 per cell]